Model P:
Material: B5C7
Method: DFT, GGA-PBE
State: relaxed

Cell: 6.9988 6.9988 4.5613 Å, 106.86 106.86 21.76°
Atoms (fractional coordinates):
1 B 0.0000 0.0000 0.0000
2 B 0.2003 0.2003 0.8142
3 B 0.5012 0.5012 0.4144
4 B 0.5618 0.5618 0.8457
5 B 0.8666 0.8666 0.8196
6 C 0.0580 0.0580 0.3604
7 C 0.1749 0.1749 0.4483
8 C 0.3621 0.3621 0.9960
9 C 0.3764 0.3764 0.3337
10 C 0.6792 0.6792 0.9717
11 C 0.7150 0.7150 0.3279
12 C 0.8359 0.8359 0.4500

***

Model Q:
Material: B5C7
Method: DFT, GGA-PBE
State: relaxed

Cell: 4.7116 2.5440 6.5957 Å, 90.00 93.10 90.00°
Atoms (fractional coordinates):
1 B 0.0000 0.0000 0.0000
2 B 0.1290 0.5000 0.4293
3 B 0.3004 0.0000 0.2956
4 B 0.4864 0.5000 0.7447
5 B 0.6989 0.0000 0.4250
6 C 0.1528 0.5000 0.6733
7 C 0.3472 0.0000 0.0644
8 C 0.4971 0.5000 0.9996
9 C 0.6810 0.0000 0.6636
10 C 0.8057 0.5000 0.0886
11 C 0.8072 0.5000 0.3138
12 C 0.9981 0.0000 0.7412

***

model Q is favored, and the nearest alternative lies 2.7 kJ/mol of atoms above it.